Here is a relaxed structure of TlOsPt from Alexandria via LeMat-Bulk. Energies are from GGA-PBEsol.

Unit cell a=4.3693 b=4.3693 c=4.3693 alpha=60.00 beta=60.00 gamma=60.00
Closest atoms and distances in Å follow each position.
Positions (direct):
Os 0.5000 0.5000 0.5000  4 Pt 2.68
Pt 0.7500 0.7500 0.7500  4 Tl 2.68, 4 Os 2.68
Tl 0.0000 0.0000 0.0000  4 Pt 2.68

## Properties
* E_tot: -6.318 eV per atom
* magnetic moment: 2.0 Bohr magnetons per cell
* SG: F-43m (216)
* mass density: 16.6 Mg/m³